[1]
A geometry-optimized CeNd4S4 structure. Source: Alexandria via LeMat-Bulk, functional PBE.

Computed properties:
Uncorrected formation energy ... -1.753 eV/atom

a b c (Å): 5.7427 6.9966 6.9961
angles (deg): 80.28 65.77 65.77
Each line ends with the local moment (μB).
Atoms (fractional coordinates):
Ce (0.0000, 0.0000, 0.0000)  0.82
Nd (0.6016, 0.5957, 0.2010)  0.02
Nd (0.3984, 0.4043, 0.7990)  0.02
Nd (0.1972, 0.2010, 0.4045)  0.02
Nd (0.8028, 0.7990, 0.5955)  0.02
S (0.9015, 0.3976, 0.7994)  0.00
S (0.0985, 0.6024, 0.2006)  0.00
S (0.2990, 0.7993, 0.6027)  0.00
S (0.7010, 0.2007, 0.3973)  0.00



[2]
A geometry-optimized SrScO3 structure. Source: Alexandria via LeMat-Bulk, functional PBE.

Computed properties:
Uncorrected formation energy ... -2.771 eV/atom

a b c (Å): 4.1372 4.1372 4.1372
angles (deg): 90.00 90.00 90.00
Each line ends with the local moment (μB).
Atoms (fractional coordinates):
Sc (0.5000, 0.5000, 0.5000)  -0.04
Sr (0.0000, 0.0000, 0.0000)  -0.01
O (0.5000, 0.0000, 0.5000)  0.34
O (0.5000, 0.5000, 0.0000)  0.24
O (0.0000, 0.5000, 0.5000)  0.30



[3]
A geometry-optimized Na4BrCl3 structure. Source: Alexandria via LeMat-Bulk, functional PBE.

Computed properties:
Uncorrected formation energy ... -1.739 eV/atom
Energy relative to the lowest polymorph listed for this composition ... 0.000 eV/atom

a b c (Å): 7.0559 7.0952 8.1820
angles (deg): 90.00 90.00 109.54
Atoms (fractional coordinates):
Na (0.0061, 0.2513, 0.6189)
Na (0.4982, 0.2619, 0.8689)
Na (0.5061, 0.2513, 0.3811)
Na (0.9982, 0.2619, 0.1311)
Na (0.0018, 0.7381, 0.8689)
Na (0.4939, 0.7487, 0.6189)
Na (0.5018, 0.7381, 0.1311)
Na (0.9939, 0.7487, 0.3811)
Br (0.7500, 0.0000, 0.8747)
Br (0.2500, 0.0000, 0.1253)
Cl (0.7500, 0.0000, 0.3769)
Cl (0.2500, 0.0000, 0.6231)
Cl (0.7500, 0.5000, 0.6231)
Cl (0.7500, 0.5000, 0.1281)
Cl (0.2500, 0.5000, 0.3769)
Cl (0.2500, 0.5000, 0.8719)



[4]
A geometry-optimized Tl3V2CrSe6 structure. Source: Alexandria via LeMat-Bulk, functional PBE.

Computed properties:
Uncorrected formation energy ... -0.525 eV/atom

a b c (Å): 6.5669 6.5669 7.8667
angles (deg): 98.02 98.02 118.92
Each line ends with the local moment (μB).
Atoms (fractional coordinates):
Tl (0.1745, 0.8255, 0.5000)  -0.01
Tl (0.8255, 0.1745, 0.5000)  -0.01
Tl (0.5000, 0.5000, 0.5000)  -0.01
V (0.3464, 0.6536, 0.0000)  1.99
V (0.6536, 0.3464, 0.0000)  1.99
Cr (0.0000, 0.0000, 0.0000)  3.07
Se (0.9456, 0.6107, 0.8243)  -0.10
Se (0.7380, 0.7380, 0.1899)  -0.11
Se (0.0544, 0.3893, 0.1757)  -0.10
Se (0.6107, 0.9456, 0.8243)  -0.10
Se (0.2620, 0.2620, 0.8101)  -0.11
Se (0.3893, 0.0544, 0.1757)  -0.10



[5]
A geometry-optimized Li2AcPmS4 structure. Source: Alexandria via LeMat-Bulk, functional PBE.

Computed properties:
Uncorrected formation energy ... -1.773 eV/atom

a b c (Å): 4.1606 6.6832 7.2412
angles (deg): 68.69 90.00 90.00
Atoms (fractional coordinates):
Li (0.0000, 0.0000, 0.0000)
Li (0.5000, 0.0000, 0.5000)
Ac (0.0000, 0.5000, 0.5000)
Pm (0.5000, 0.5000, 0.0000)
S (0.0000, 0.7567, 0.7582)
S (0.0000, 0.2433, 0.2418)
S (0.5000, 0.7605, 0.2323)
S (0.5000, 0.2395, 0.7677)



[6]
A geometry-optimized NdScCd structure. Source: Alexandria via LeMat-Bulk, functional PBE.

Computed properties:
Energy relative to the lowest polymorph listed for this composition ... 0.309 eV/atom
ΔE_f ... 0.14 eV per atom

a b c (Å): 5.0873 5.0873 5.0862
angles (deg): 90.16 119.91 119.91
Each line ends with the local moment (μB).
Atoms (fractional coordinates):
Nd (0.9445, 0.4722, 0.4168)  0.08
Sc (0.9444, 0.9722, 0.9166)  0.18
Cd (0.4444, 0.2222, 0.6666)  0.01



[7]
A geometry-optimized SrHgSb2 structure. Source: Alexandria via LeMat-Bulk, functional PBE.

Computed properties:
Uncorrected formation energy ... -0.339 eV/atom

a b c (Å): 5.8711 5.8711 3.5767
angles (deg): 90.00 90.00 107.47
Atoms (fractional coordinates):
Hg (0.0000, 0.5000, 0.5000)
Sb (0.0000, 0.0000, 0.0000)
Sb (0.5000, 0.5000, 0.0000)
Sr (0.5000, 0.0000, 0.5000)



[8]
A geometry-optimized Ag2SbPb2 structure. Source: Alexandria via LeMat-Bulk, functional PBE.

Computed properties:
Uncorrected formation energy ... 0.185 eV/atom
Energy relative to the lowest polymorph listed for this composition ... 0.113 eV/atom

a b c (Å): 8.8241 8.8241 3.3631
angles (deg): 90.00 90.00 90.00
Atoms (fractional coordinates):
Pb (0.3177, 0.8177, 0.0000)
Pb (0.8177, 0.6823, 0.0000)
Pb (0.6823, 0.1823, 0.0000)
Pb (0.1823, 0.3177, 0.0000)
Sb (0.0000, 0.0000, 0.0000)
Sb (0.5000, 0.5000, 0.0000)
Ag (0.1134, 0.6134, 0.5000)
Ag (0.6134, 0.8866, 0.5000)
Ag (0.8866, 0.3866, 0.5000)
Ag (0.3866, 0.1134, 0.5000)



no.,D(E_F) (states/eV per atom)
1,1.240
2,0.744
3,0.000
4,0.393
5,0.000
6,1.784
7,0.499
8,0.380